# PBE+U Li2Co3O6, optimized geometry
# E_tot: -5.693 eV/atom
# Fermi-level density of states: 1.75 states/eV/f.u.
data_Li2Co3O6
_space_group_name_H-M_alt 'P 1'
_space_group_IT_number 1
_space_group_name_Hall 'P 1'
_cell_length_a 4.8902
_cell_length_b 4.8902
_cell_length_c 5.0570
_cell_angle_alpha 80.68
_cell_angle_beta 80.68
_cell_angle_gamma 119.97
loop_
_atom_site_label
_atom_site_type_symbol
_atom_site_fract_x
_atom_site_fract_y
_atom_site_fract_z
_atom_site_occupancy
Li1 Li 0.3343 0.6657 0.0000 1
Li2 Li 0.6657 0.3343 0.0000 1
Co1 Co 0.5000 0.5000 0.5000 1
Co2 Co 0.1650 0.8350 0.5000 1
Co3 Co 0.8350 0.1650 0.5000 1
O1 O 0.7591 0.7591 0.7090 1
O2 O 0.5632 0.9040 0.2936 1
O3 O 0.2409 0.2409 0.2910 1
O4 O 0.0960 0.4368 0.7064 1
O5 O 0.9040 0.5632 0.2936 1
O6 O 0.4368 0.0960 0.7064 1